HgMoO2 after structural relaxation. Source: Alexandria via LeMat-Bulk, functional PBE+U.

Structure (POSCAR):
```
HgMoO2
1.0
1.7734 0.0000 7.3490
-0.8867 1.5358 7.3490
-0.8867 -1.5358 7.3490
Mo Hg O
1 1 2
direct
0.0000 0.0000 0.0000
0.5000 0.5000 0.5000
0.9166 0.9166 0.9166
0.0834 0.0834 0.0834
```

For the total energy, the calculation gives -17.7 eV/cell. As for the density of states at the Fermi level: 2.15 states/eV/f.u. As for the space group: R-3m. The calculation puts the total magnetization at 0.54 μB per formula unit.